Entry a
Material: Tl2FeNi
Method: DFT, PBE
State: relaxed

Lattice parameters (Å, degrees): 4.756 4.756 4.756 60.00 60.00 60.00
Positions (direct):
Tl1 0.000 0.000 0.000
Tl2 0.250 0.250 0.250
Fe1 0.750 0.750 0.750
Ni1 0.500 0.500 0.500

## Properties
Density of states at the Fermi level ... 1.03 states/eV per atom



Entry b
Material: Tl2FeNi
Method: DFT, PBE
State: relaxed

Lattice parameters (Å, degrees): 4.651 3.081 5.560 90.00 111.69 90.00
Positions (direct):
Tl1 0.000 0.000 0.000
Tl2 0.500 0.500 0.500
Fe1 0.000 0.000 0.500
Ni1 0.500 0.500 0.000

## Properties
Density of states at the Fermi level ... 0.76 states/eV per atom



Entry c
Material: Tl2FeNi
Method: DFT, PBE
State: relaxed

Lattice parameters (Å, degrees): 3.156 3.156 8.153 90.00 90.00 90.00
Positions (direct):
Tl1 0.000 0.000 0.000
Tl2 0.500 0.500 0.372
Fe1 0.000 0.000 0.626
Ni1 0.500 0.500 0.748

## Properties
Density of states at the Fermi level ... 0.82 states/eV per atom



Most stable structure, least stable structure: entry c, entry a.



Entry a
Material: Tl2FeNi
Method: DFT, PBE
State: relaxed

Lattice parameters (Å, degrees): 4.623 4.623 3.281 90.13 90.13 89.59
Positions (direct):
Tl1 0.000 0.500 0.000
Tl2 0.500 0.000 0.000
Fe1 0.000 0.000 0.500
Ni1 0.500 0.500 0.500

## Properties
Density of states at the Fermi level ... 0.81 states/eV per atom



Entry b
Material: Tl2FeNi
Method: DFT, PBE
State: relaxed

Lattice parameters (Å, degrees): 5.387 5.387 5.387 145.09 119.85 71.47
Positions (direct):
Tl1 0.240 0.240 0.000
Tl2 0.760 0.760 0.000
Fe1 0.500 0.000 0.500
Ni1 0.000 0.500 0.500

## Properties
Density of states at the Fermi level ... 0.87 states/eV per atom



Most stable structure, least stable structure: entry a, entry b.